[1]
Entry from the Alexandria database: a relaxed YZrOs crystal (PBE).

```
YZrOs
1.0
6.598 0.000 0.000
0.000 6.598 0.000
0.000 0.000 6.598
Y Zr Os
4 4 4
direct
0.000 0.000 0.000 Y
0.000 0.500 0.500 Y
0.500 0.000 0.500 Y
0.500 0.500 0.000 Y
0.000 0.000 0.500 Zr
0.000 0.500 0.000 Zr
0.500 0.000 0.000 Zr
0.500 0.500 0.500 Zr
0.250 0.250 0.250 Os
0.250 0.750 0.750 Os
0.750 0.250 0.750 Os
0.750 0.750 0.250 Os
```

Distance to the lowest polymorph of the same formula ... 0.164 eV per atom
Space-group type ... F-43m
Formation enthalpy at 0 K ... -0.13 eV per atom

[2]
Entry from the Alexandria database: a relaxed Sm3YH crystal (PBE).

```
Sm3YH
1.0
5.091 0.000 0.000
0.000 5.091 0.000
0.000 0.000 5.091
Sm Y H
3 1 1
direct
0.000 0.000 0.500 Sm
0.000 0.500 0.000 Sm
0.500 0.000 0.000 Sm
0.500 0.500 0.500 Y
0.000 0.000 0.000 H
```

Energy ... -4.961 eV per atom
Space-group type ... Pm-3m

[3]
Entry from the Alexandria database: a relaxed YTmCo crystal (PBE).

```
YTmCo
1.0
3.455 0.000 0.000
0.000 5.129 0.000
-1.731 0.000 7.647
Y Tm Co
2 2 2
direct
0.072 0.250 0.141 Y
0.928 0.750 0.859 Y
0.209 0.750 0.418 Tm
0.791 0.250 0.582 Tm
0.426 0.250 0.852 Co
0.574 0.750 0.148 Co
```

Distance to the lowest polymorph of the same formula ... 0.072 eV per atom
Space-group type ... P2_1/m
Formation enthalpy at 0 K ... -0.09 eV per atom

[4]
Entry from the Alexandria database: a relaxed Ca2AcPaSb4 crystal (PBE).

```
Ca2AcPaSb4
1.0
7.803 0.000 0.000
0.000 4.604 0.000
-2.693 0.000 7.518
Ca Ac Pa Sb
2 1 1 4
direct
0.000 0.000 0.000 Ca
0.000 0.500 0.500 Ca
0.500 0.000 0.500 Ac
0.500 0.500 0.000 Pa
0.252 0.500 0.228 Sb
0.262 0.000 0.772 Sb
0.738 0.000 0.228 Sb
0.748 0.500 0.772 Sb
```

E_form (uncorrected) ... -0.8899 eV per atom
Space-group type ... P2/m

[5]
Entry from the Alexandria database: a relaxed SnSbPtI2 crystal (PBE).

```
SnSbPtI2
1.0
5.502 0.000 0.000
0.000 5.502 0.000
0.000 0.000 5.290
Sn Sb Pt I
1 1 1 2
direct
0.000 0.000 0.000 Sn
0.500 0.500 0.000 Sb
0.500 0.500 0.500 Pt
0.000 0.500 0.500 I
0.500 0.000 0.500 I
```

Distance to the lowest polymorph of the same formula ... 0.000 eV per atom
E_form (uncorrected) ... 0.2246 eV per atom
Space-group type ... P4/mmm

[6]
Entry from the Alexandria database: a relaxed Ca2MgI crystal (PBE).

```
Ca2MgI
1.0
8.161 0.000 0.000
0.000 8.161 0.000
0.000 0.000 8.161
Ca Mg I
8 4 4
direct
0.250 0.250 0.250 Ca
0.250 0.250 0.750 Ca
0.250 0.750 0.250 Ca
0.250 0.750 0.750 Ca
0.750 0.250 0.250 Ca
0.750 0.250 0.750 Ca
0.750 0.750 0.250 Ca
0.750 0.750 0.750 Ca
0.000 0.000 0.000 Mg
0.000 0.500 0.500 Mg
0.500 0.000 0.500 Mg
0.500 0.500 0.000 Mg
0.000 0.000 0.500 I
0.000 0.500 0.000 I
0.500 0.000 0.000 I
0.500 0.500 0.500 I
```

Distance to the lowest polymorph of the same formula ... 0.253 eV per atom
E_form (uncorrected) ... -0.2357 eV per atom
Space-group type ... Fm-3m

Number 1: size of the total moment 0.000 μB per formula unit. Number 2: size of the total moment 0.000 μB per formula unit. Number 3: size of the total moment 0.000 μB per formula unit. Number 4: size of the total moment 0.139 μB per formula unit. Number 5: size of the total moment 0.000 μB per formula unit. Number 6: size of the total moment 1.105 μB per formula unit.